# 1
Compound: Pm5ZnBi4
Source: Alexandria via LeMat-Bulk
Functional: PBE-GGA
Structure: relaxed

Summary:
size of the total moment	0.0	Bohr magnetons per cell
energy relative to the elements	-0.720	eV/atom

Unit cell a=7.8503 b=7.8503 c=7.8503 alpha=99.61 beta=99.61 gamma=131.78
Closest atoms and distances in Å follow each position.
Sites, in units of the cell vectors:
1 Pm 0.0000 0.0000 0.0000  4 Bi 3.20, 2 Zn 3.21
2 Pm 0.1998 0.3967 0.5965  5 Bi 3.17-3.24, 1 Zn 3.22
3 Pm 0.3967 0.8002 0.1970  5 Bi 3.17-3.24, 1 Zn 3.22
4 Pm 0.6033 0.1998 0.8030  5 Bi 3.17-3.24, 1 Zn 3.22
5 Pm 0.8002 0.6033 0.4035  5 Bi 3.17-3.24, 1 Zn 3.22
6 Zn 0.5000 0.5000 0.0000  6 Pm 3.21-3.22
7 Bi 0.0977 0.6997 0.7975  6 Pm 3.17-3.24
8 Bi 0.3003 0.0977 0.3980  6 Pm 3.17-3.24
9 Bi 0.6997 0.9023 0.6020  6 Pm 3.17-3.24
10 Bi 0.9023 0.3003 0.2025  6 Pm 3.17-3.24

---

# 2
Compound: Pm2ZnBi
Source: Alexandria via LeMat-Bulk
Functional: PBE-GGA
Structure: relaxed

Summary:
distance to the lowest polymorph of the same formula	576.6	meV/atom
size of the total moment	0.5	Bohr magnetons per cell
energy relative to the elements	0.061	eV/atom

Unit cell a=10.4346 b=10.4346 c=10.4346 alpha=23.19 beta=23.19 gamma=23.19
Closest atoms and distances in Å follow each position.
Sites, in units of the cell vectors:
1 Pm 0.1014 0.1014 0.1014  1 Zn 3.09, 3 Bi 3.13
2 Pm 0.8986 0.8986 0.8986  1 Zn 3.09, 3 Bi 3.13
3 Zn 0.0000 0.0000 0.0000  2 Pm 3.09
4 Bi 0.5000 0.5000 0.5000  6 Pm 3.13

---

# 3
Compound: Pm2ZnBi
Source: Alexandria via LeMat-Bulk
Functional: PBE-GGA
Structure: relaxed

Summary:
distance to the lowest polymorph of the same formula	58.9	meV/atom
size of the total moment	0.0	Bohr magnetons per cell
energy relative to the elements	-0.457	eV/atom

Unit cell a=5.4022 b=5.4022 c=5.4022 alpha=60.00 beta=60.00 gamma=60.00
Closest atoms and distances in Å follow each position.
Sites, in units of the cell vectors:
1 Pm 0.2500 0.2500 0.2500  4 Bi 3.31, 4 Zn 3.31
2 Pm 0.7500 0.7500 0.7500  4 Bi 3.31, 4 Zn 3.31
3 Zn 0.0000 0.0000 0.0000  8 Pm 3.31
4 Bi 0.5000 0.5000 0.5000  8 Pm 3.31

---

# 4
Compound: Pm2ZrBi
Source: Alexandria via LeMat-Bulk
Functional: PBE-GGA
Structure: relaxed

Summary:
distance to the lowest polymorph of the same formula	0.0	meV/atom
size of the total moment	0.0	Bohr magnetons per cell
energy relative to the elements	-0.246	eV/atom

Unit cell a=4.8450 b=4.8450 c=4.7766 alpha=90.00 beta=90.00 gamma=90.00
Closest atoms and distances in Å follow each position.
Sites, in units of the cell vectors:
1 Pm 0.0000 0.5000 0.0000  4 Bi 3.40, 4 Zr 3.40, 4 Pm 3.43
2 Pm 0.5000 0.0000 0.0000  4 Bi 3.40, 4 Zr 3.40, 4 Pm 3.43
3 Zr 0.0000 0.0000 0.5000  8 Pm 3.40, 4 Bi 3.43
4 Bi 0.5000 0.5000 0.5000  8 Pm 3.40, 4 Zr 3.43

---

# 5
Compound: PmZrBi
Source: Alexandria via LeMat-Bulk
Functional: PBE-GGA
Structure: relaxed

Summary:
distance to the lowest polymorph of the same formula	0.0	meV/atom
size of the total moment	0.0	Bohr magnetons per cell
energy relative to the elements	-0.586	eV/atom

Unit cell a=4.4371 b=4.4371 c=8.5580 alpha=90.00 beta=90.00 gamma=90.00
Closest atoms and distances in Å follow each position.
Sites, in units of the cell vectors:
1 Pm 0.2500 0.2500 0.1492  5 Bi 3.23-3.33
2 Pm 0.7500 0.7500 0.8508  5 Bi 3.23-3.33
3 Zr 0.2500 0.7500 0.5000  4 Zr 3.14, 4 Bi 3.14
4 Zr 0.7500 0.2500 0.5000  4 Zr 3.14, 4 Bi 3.14
5 Bi 0.2500 0.2500 0.7596  4 Zr 3.14, 5 Pm 3.23-3.33
6 Bi 0.7500 0.7500 0.2404  4 Zr 3.14, 5 Pm 3.23-3.33

---

# 6
Compound: Pm2ZrBi
Source: Alexandria via LeMat-Bulk
Functional: PBE-GGA
Structure: relaxed

Summary:
distance to the lowest polymorph of the same formula	3.4	meV/atom
size of the total moment	1.7	Bohr magnetons per cell
energy relative to the elements	-0.243	eV/atom

Unit cell a=4.1410 b=4.1410 c=6.8736 alpha=90.00 beta=90.00 gamma=90.00
Closest atoms and distances in Å follow each position.
Sites, in units of the cell vectors:
1 Pm 0.0000 0.0000 0.2435  2 Pm 3.35-3.53, 4 Bi 3.37, 4 Zr 3.42
2 Pm 0.0000 0.0000 0.7565  2 Pm 3.35-3.53, 4 Bi 3.37, 4 Zr 3.42
3 Zr 0.5000 0.5000 0.5000  8 Pm 3.42, 2 Bi 3.44
4 Bi 0.5000 0.5000 0.0000  8 Pm 3.37, 2 Zr 3.44

---

# 7
Compound: Pm5Zr3Bi12
Source: Alexandria via LeMat-Bulk
Functional: PBE-GGA
Structure: relaxed

Summary:
size of the total moment	0.0	Bohr magnetons per cell
energy relative to the elements	-0.078	eV/atom

Unit cell a=15.7689 b=15.7689 c=15.7689 alpha=109.47 beta=109.47 gamma=109.47
Closest atoms and distances in Å follow each position.
Sites, in units of the cell vectors:
1 Pm 0.0000 0.0000 0.0000  6 Bi 3.27
2 Pm 0.0000 0.0000 0.5000  6 Bi 3.27
3 Pm 0.0000 0.5000 0.0000  6 Bi 3.27
4 Pm 0.0000 0.5000 0.5000  6 Bi 3.27
5 Pm 0.1250 0.7500 0.8750  4 Bi 3.08
6 Pm 0.1250 0.8750 0.2500  4 Bi 3.08
7 Pm 0.2500 0.1250 0.8750  4 Bi 3.08
8 Pm 0.2500 0.6250 0.3750  4 Bi 3.08
9 Pm 0.3750 0.2500 0.6250  4 Bi 3.08
10 Pm 0.3750 0.6250 0.7500  4 Bi 3.08
11 Pm 0.5000 0.0000 0.0000  6 Bi 3.27
12 Pm 0.5000 0.0000 0.5000  6 Bi 3.27
13 Pm 0.5000 0.5000 0.0000  6 Bi 3.27
14 Pm 0.5000 0.5000 0.5000  6 Bi 3.27
15 Pm 0.6250 0.3750 0.2500  4 Bi 3.08
16 Pm 0.6250 0.7500 0.3750  4 Bi 3.08
17 Pm 0.7500 0.3750 0.6250  4 Bi 3.08
18 Pm 0.7500 0.8750 0.1250  4 Bi 3.08
19 Pm 0.8750 0.1250 0.7500  4 Bi 3.08
20 Pm 0.8750 0.2500 0.1250  4 Bi 3.08
21 Zr 0.1250 0.2500 0.3750  4 Bi 2.96
22 Zr 0.1250 0.3750 0.7500  4 Bi 2.96
23 Zr 0.2500 0.3750 0.1250  4 Bi 2.96
24 Zr 0.2500 0.8750 0.6250  4 Bi 2.96
25 Zr 0.3750 0.1250 0.2500  4 Bi 2.96
26 Zr 0.3750 0.7500 0.1250  4 Bi 2.96
27 Zr 0.6250 0.2500 0.8750  4 Bi 2.96
28 Zr 0.6250 0.8750 0.7500  4 Bi 2.96
29 Zr 0.7500 0.1250 0.3750  4 Bi 2.96
30 Zr 0.7500 0.6250 0.8750  4 Bi 2.96
31 Zr 0.8750 0.6250 0.2500  4 Bi 2.96
32 Zr 0.8750 0.7500 0.6250  4 Bi 2.96
33 Bi 0.0622 0.6330 0.3883  1 Zr 2.96, 2 Pm 3.08-3.27, 1 Bi 3.25
34 Bi 0.0622 0.9292 0.6739  1 Zr 2.96, 2 Pm 3.08-3.27, 1 Bi 3.25
35 Bi 0.0708 0.2448 0.1330  1 Zr 2.96, 2 Pm 3.08-3.27, 1 Bi 3.25
36 Bi 0.0708 0.3261 0.9378  1 Zr 2.96, 2 Pm 3.08-3.27, 1 Bi 3.25
37 Bi 0.1117 0.7448 0.6739  1 Zr 2.96, 2 Pm 3.08-3.27, 1 Bi 3.25
38 Bi 0.1117 0.8670 0.4378  1 Zr 2.96, 2 Pm 3.08-3.27, 1 Bi 3.25
39 Bi 0.1330 0.0708 0.2448  1 Zr 2.96, 2 Pm 3.08-3.27, 1 Bi 3.25
40 Bi 0.1330 0.5622 0.8883  1 Zr 2.96, 2 Pm 3.08-3.27, 1 Bi 3.25
41 Bi 0.1739 0.2448 0.6117  1 Zr 2.96, 2 Pm 3.08-3.27, 1 Bi 3.25
42 Bi 0.1739 0.4292 0.5622  1 Zr 2.96, 2 Pm 3.08-3.27, 1 Bi 3.25
43 Bi 0.2448 0.1330 0.0708  1 Zr 2.96, 2 Pm 3.08-3.27, 1 Bi 3.25
44 Bi 0.2448 0.6117 0.1739  1 Zr 2.96, 2 Pm 3.08-3.27, 1 Bi 3.25
45 Bi 0.2552 0.3261 0.8883  1 Zr 2.96, 2 Pm 3.08-3.27, 1 Bi 3.25
46 Bi 0.2552 0.4292 0.3670  1 Zr 2.96, 2 Pm 3.08-3.27, 1 Bi 3.25
47 Bi 0.3261 0.8883 0.2552  1 Zr 2.96, 2 Pm 3.08-3.27, 1 Bi 3.25
48 Bi 0.3261 0.9378 0.0708  1 Zr 2.96, 2 Pm 3.08-3.27, 1 Bi 3.25
49 Bi 0.3670 0.2552 0.4292  1 Zr 2.96, 2 Pm 3.08-3.27, 1 Bi 3.25
50 Bi 0.3670 0.6117 0.9378  1 Zr 2.96, 2 Pm 3.08-3.27, 1 Bi 3.25
51 Bi 0.3883 0.0622 0.6330  1 Zr 2.96, 2 Pm 3.08-3.27, 1 Bi 3.25
52 Bi 0.3883 0.8261 0.7552  1 Zr 2.96, 2 Pm 3.08-3.27, 1 Bi 3.25
53 Bi 0.4292 0.3670 0.2552  1 Zr 2.96, 2 Pm 3.08-3.27, 1 Bi 3.25
54 Bi 0.4292 0.5622 0.1739  1 Zr 2.96, 2 Pm 3.08-3.27, 1 Bi 3.25
55 Bi 0.4378 0.1117 0.8670  1 Zr 2.96, 2 Pm 3.08-3.27, 1 Bi 3.25
56 Bi 0.4378 0.8261 0.5708  1 Zr 2.96, 2 Pm 3.08-3.27, 1 Bi 3.25
57 Bi 0.5622 0.1739 0.4292  1 Zr 2.96, 2 Pm 3.08-3.27, 1 Bi 3.25
58 Bi 0.5622 0.8883 0.1330  1 Zr 2.96, 2 Pm 3.08-3.27, 1 Bi 3.25
59 Bi 0.5708 0.4378 0.8261  1 Zr 2.96, 2 Pm 3.08-3.27, 1 Bi 3.25
60 Bi 0.5708 0.6330 0.7448  1 Zr 2.96, 2 Pm 3.08-3.27, 1 Bi 3.25
61 Bi 0.6117 0.1739 0.2448  1 Zr 2.96, 2 Pm 3.08-3.27, 1 Bi 3.25
62 Bi 0.6117 0.9378 0.3670  1 Zr 2.96, 2 Pm 3.08-3.27, 1 Bi 3.25
63 Bi 0.6330 0.3883 0.0622  1 Zr 2.96, 2 Pm 3.08-3.27, 1 Bi 3.25
64 Bi 0.6330 0.7448 0.5708  1 Zr 2.96, 2 Pm 3.08-3.27, 1 Bi 3.25
65 Bi 0.6739 0.0622 0.9292  1 Zr 2.96, 2 Pm 3.08-3.27, 1 Bi 3.25
66 Bi 0.6739 0.1117 0.7448  1 Zr 2.96, 2 Pm 3.08-3.27, 1 Bi 3.25
67 Bi 0.7448 0.5708 0.6330  1 Zr 2.96, 2 Pm 3.08-3.27, 1 Bi 3.25
68 Bi 0.7448 0.6739 0.1117  1 Zr 2.96, 2 Pm 3.08-3.27, 1 Bi 3.25
69 Bi 0.7552 0.3883 0.8261  1 Zr 2.96, 2 Pm 3.08-3.27, 1 Bi 3.25
70 Bi 0.7552 0.8670 0.9292  1 Zr 2.96, 2 Pm 3.08-3.27, 1 Bi 3.25
71 Bi 0.8261 0.5708 0.4378  1 Zr 2.96, 2 Pm 3.08-3.27, 1 Bi 3.25
72 Bi 0.8261 0.7552 0.3883  1 Zr 2.96, 2 Pm 3.08-3.27, 1 Bi 3.25
73 Bi 0.8670 0.4378 0.1117  1 Zr 2.96, 2 Pm 3.08-3.27, 1 Bi 3.25
74 Bi 0.8670 0.9292 0.7552  1 Zr 2.96, 2 Pm 3.08-3.27, 1 Bi 3.25
75 Bi 0.8883 0.1330 0.5622  1 Zr 2.96, 2 Pm 3.08-3.27, 1 Bi 3.25
76 Bi 0.8883 0.2552 0.3261  1 Zr 2.96, 2 Pm 3.08-3.27, 1 Bi 3.25
77 Bi 0.9292 0.6739 0.0622  1 Zr 2.96, 2 Pm 3.08-3.27, 1 Bi 3.25
78 Bi 0.9292 0.7552 0.8670  1 Zr 2.96, 2 Pm 3.08-3.27, 1 Bi 3.25
79 Bi 0.9378 0.0708 0.3261  1 Zr 2.96, 2 Pm 3.08-3.27, 1 Bi 3.25
80 Bi 0.9378 0.3670 0.6117  1 Zr 2.96, 2 Pm 3.08-3.27, 1 Bi 3.25

---

# 8
Compound: Pm4ZrBi5
Source: Alexandria via LeMat-Bulk
Functional: PBE-GGA
Structure: relaxed

Summary:
size of the total moment	0.0	Bohr magnetons per cell
energy relative to the elements	-0.762	eV/atom

Unit cell a=16.2175 b=16.2175 c=16.2175 alpha=163.99 beta=163.99 gamma=22.72
Closest atoms and distances in Å follow each position.
Sites, in units of the cell vectors:
1 Pm 0.0994 0.0994 0.0000  6 Bi 3.16-3.21
2 Pm 0.3020 0.3020 0.0000  6 Bi 3.20-3.26
3 Pm 0.6980 0.6980 0.0000  6 Bi 3.20-3.26
4 Pm 0.9006 0.9006 0.0000  6 Bi 3.16-3.21
5 Zr 0.5000 0.5000 0.0000  6 Bi 3.04-3.19
6 Bi 0.0000 0.0000 0.0000  2 Pm 3.16, 4 Zr 3.19
7 Bi 0.2002 0.2002 0.0000  6 Pm 3.20-3.24
8 Bi 0.4045 0.4045 0.0000  1 Zr 3.04, 5 Pm 3.20-3.26
9 Bi 0.5955 0.5955 0.0000  1 Zr 3.04, 5 Pm 3.20-3.26
10 Bi 0.7998 0.7998 0.0000  6 Pm 3.20-3.24

---

# 9
Compound: Pm2ZrBi
Source: Alexandria via LeMat-Bulk
Functional: PBE-GGA
Structure: relaxed

Summary:
distance to the lowest polymorph of the same formula	320.4	meV/atom
size of the total moment	0.0	Bohr magnetons per cell
energy relative to the elements	0.074	eV/atom

Unit cell a=12.1476 b=12.1476 c=12.1476 alpha=16.41 beta=16.41 gamma=16.41
Closest atoms and distances in Å follow each position.
Sites, in units of the cell vectors:
1 Pm 0.0915 0.0915 0.0915  1 Bi 3.29, 3 Zr 3.36, 6 Pm 3.47
2 Pm 0.9085 0.9085 0.9085  1 Bi 3.29, 3 Zr 3.36, 6 Pm 3.47
3 Zr 0.5000 0.5000 0.5000  6 Pm 3.36, 6 Zr 3.47
4 Bi 0.0000 0.0000 0.0000  2 Pm 3.29, 6 Bi 3.47

---

# 10
Compound: PmZrBi3
Source: Alexandria via LeMat-Bulk
Functional: PBE-GGA
Structure: relaxed

Summary:
size of the total moment	0.0	Bohr magnetons per cell
energy relative to the elements	-0.521	eV/atom

Unit cell a=13.6959 b=6.6460 c=6.5606 alpha=90.00 beta=90.00 gamma=90.00
Closest atoms and distances in Å follow each position.
Sites, in units of the cell vectors:
1 Pm 0.1826 0.0136 0.2500  9 Bi 3.33-3.50
2 Pm 0.1826 0.4864 0.7500  9 Bi 3.33-3.50
3 Pm 0.8174 0.5136 0.2500  9 Bi 3.33-3.50
4 Pm 0.8174 0.9864 0.7500  9 Bi 3.33-3.50
5 Zr 0.4056 0.7500 0.0000  6 Bi 2.99-3.08, 2 Zr 3.28
6 Zr 0.4056 0.7500 0.5000  6 Bi 2.99-3.08, 2 Zr 3.28
7 Zr 0.5944 0.2500 0.0000  6 Bi 2.99-3.08, 2 Zr 3.28
8 Zr 0.5944 0.2500 0.5000  6 Bi 2.99-3.08, 2 Zr 3.28
9 Bi 0.0040 0.7500 0.0000  4 Bi 3.28-3.32, 4 Pm 3.42-3.43
10 Bi 0.0040 0.7500 0.5000  4 Bi 3.28-3.32, 4 Pm 3.42-3.43
11 Bi 0.2559 0.5088 0.2500  2 Zr 3.08, 1 Bi 3.40, 3 Pm 3.43-3.44
12 Bi 0.2559 0.9912 0.7500  2 Zr 3.08, 1 Bi 3.40, 3 Pm 3.43-3.44
13 Bi 0.4200 0.1243 0.2500  4 Zr 2.99-3.02, 1 Pm 3.33
14 Bi 0.4200 0.3757 0.7500  4 Zr 2.99-3.02, 1 Pm 3.33
15 Bi 0.5800 0.6243 0.2500  4 Zr 2.99-3.02, 1 Pm 3.33
16 Bi 0.5800 0.8757 0.7500  4 Zr 2.99-3.02, 1 Pm 3.33
17 Bi 0.7441 0.0088 0.2500  2 Zr 3.08, 1 Bi 3.40, 3 Pm 3.43-3.44
18 Bi 0.7441 0.4912 0.7500  2 Zr 3.08, 1 Bi 3.40, 3 Pm 3.43-3.44
19 Bi 0.9960 0.2500 0.0000  4 Bi 3.28-3.32, 4 Pm 3.42-3.43
20 Bi 0.9960 0.2500 0.5000  4 Bi 3.28-3.32, 4 Pm 3.42-3.43

---

Which of these has the highest energy relative to the elements? number 9